A geometry-optimized FeNi2Ag structure, computed with PBE.

abc: 4.4875 4.4875 2.6854
angles: 90.00 90.00 106.79
Element x y z (fractional)
Fe1 0.0000 0.0000 0.0000
Ni1 0.0000 0.5000 0.5000
Ni2 0.5000 0.0000 0.5000
Ag1 0.5000 0.5000 0.0000

Its total energy is -22.0 eV per formula unit. For the formation energy from the elements, the calculation gives 0.92 eV per formula unit. The value obtained for the energy above the most stable polymorph in this dataset is 112 meV per atom.

=====

A geometry-optimized FeNi2Ag2 structure, computed with PBE.

abc: 6.0080 6.0080 4.0859
angles: 90.00 90.00 90.00
Element x y z (fractional)
Fe1 0.0000 0.0000 0.0000
Fe2 0.5000 0.5000 0.0000
Ni1 0.1338 0.3662 0.0000
Ni2 0.3662 0.8662 0.0000
Ni3 0.6338 0.1338 0.0000
Ni4 0.8662 0.6338 0.0000
Ag1 0.1726 0.6726 0.5000
Ag2 0.3274 0.1726 0.5000
Ag3 0.6726 0.8274 0.5000
Ag4 0.8274 0.3274 0.5000

Its total energy is -24.0 eV per formula unit. For the formation energy from the elements, the calculation gives 1.70 eV per formula unit. The value obtained for the energy above the most stable polymorph in this dataset is 0 meV per atom.

=====

A geometry-optimized FeNi2Ag2 structure, computed with PBE.

abc: 6.5311 6.5311 6.5311
angles: 147.46 147.46 46.68
Element x y z (fractional)
Fe1 0.0000 0.0000 0.0000
Ni1 0.4077 0.4077 0.0000
Ni2 0.5923 0.5923 0.0000
Ag1 0.2500 0.7500 0.5000
Ag2 0.7500 0.2500 0.5000

Its total energy is -22.3 eV per formula unit. For the formation energy from the elements, the calculation gives 3.41 eV per formula unit. The value obtained for the energy above the most stable polymorph in this dataset is 341 meV per atom.

=====

A geometry-optimized Fe4NiAg structure, computed with PBE.

abc: 4.7509 4.7509 4.7509
angles: 60.00 60.00 60.00
Element x y z (fractional)
Fe1 0.1244 0.1244 0.1244
Fe2 0.1244 0.1244 0.6267
Fe3 0.1244 0.6267 0.1244
Fe4 0.6267 0.1244 0.1244
Ni1 0.7500 0.7500 0.7500
Ag1 0.5000 0.5000 0.5000

Its total energy is -40.9 eV per formula unit. For the formation energy from the elements, the calculation gives 1.61 eV per formula unit.